No. 1
Computed, not measured: a geometry-optimized SmYH2 structure at the GGA-PBE level of DFT.

abc: 3.5357 3.5357 17.2498
angles: 90.00 90.00 120.00
Closest atoms and distances in Å follow each position.
Element x y z (fractional)
Sm  0.0000  0.0000  0.0000  6 H 2.54
Sm  0.3333  0.6667  0.6667  6 H 2.54
Sm  0.6667  0.3333  0.3333  6 H 2.54
Y  0.0000  0.0000  0.5000  6 H 2.45
Y  0.3333  0.6667  0.1667  6 H 2.45
Y  0.6667  0.3333  0.8333  6 H 2.45
H  0.0000  0.0000  0.2453  3 Y 2.45, 3 Sm 2.54
H  0.0000  0.0000  0.7547  3 Y 2.45, 3 Sm 2.54
H  0.3333  0.6667  0.4213  3 Y 2.45, 3 Sm 2.54
H  0.3333  0.6667  0.9120  3 Y 2.45, 3 Sm 2.54
H  0.6667  0.3333  0.0880  3 Y 2.45, 3 Sm 2.54
H  0.6667  0.3333  0.5787  3 Y 2.45, 3 Sm 2.54

SG: No. 166
Fermi-level density of states, states/eV per cell: 7.39
V, Å³/f.u.: 62
Distance to the lowest polymorph of the same formula, meV per atom: 0

***

No. 2
Computed, not measured: a geometry-optimized SmYH structure at the GGA-PBE level of DFT.

abc: 3.6671 3.6671 5.7026
angles: 90.00 90.00 120.00
Closest atoms and distances in Å follow each position.
Element x y z (fractional)
Sm  0.0000  0.0000  0.0000  3 H 2.56
Y  0.6667  0.3333  0.5162  3 H 2.50
H  0.3333  0.6667  0.7489  3 Y 2.50, 3 Sm 2.56

SG: No. 156
Fermi-level density of states, states/eV per cell: 2.94
V, Å³/f.u.: 66
Distance to the lowest polymorph of the same formula, meV per atom: 0

***

No. 3
Computed, not measured: a geometry-optimized SmY2H structure at the GGA-PBE level of DFT.

abc: 3.6205 3.6205 25.8122
angles: 90.00 90.00 120.00
Closest atoms and distances in Å follow each position.
Element x y z (fractional)
Sm  0.0000  0.0000  0.0000  6 Y 3.59, 6 Sm 3.62
Sm  0.3333  0.6667  0.6667  6 Y 3.59, 6 Sm 3.62
Sm  0.6667  0.3333  0.3333  6 Y 3.59, 6 Sm 3.62
Y  0.0000  0.0000  0.2203  3 H 2.51
Y  0.0000  0.0000  0.7797  3 H 2.51
Y  0.3333  0.6667  0.4464  3 H 2.51
Y  0.3333  0.6667  0.8869  3 H 2.51
Y  0.6667  0.3333  0.1131  3 H 2.51
Y  0.6667  0.3333  0.5536  3 H 2.51
H  0.0000  0.0000  0.5000  6 Y 2.51
H  0.3333  0.6667  0.1667  6 Y 2.51
H  0.6667  0.3333  0.8333  6 Y 2.51

SG: No. 166
Fermi-level density of states, states/eV per cell: 8.03
V, Å³/f.u.: 98
Distance to the lowest polymorph of the same formula, meV per atom: 0

***

No. 4
Computed, not measured: a geometry-optimized SmY2H8 structure at the GGA-PBE level of DFT.

abc: 6.3718 6.3718 6.3718
angles: 146.51 131.47 60.25
Closest atoms and distances in Å follow each position.
Element x y z (fractional)
Sm  0.0000  0.0000  0.0000  12 H 2.27-2.52
Y  0.3308  0.3308  0.0000  8 H 2.20-2.31
Y  0.6692  0.6692  0.0000  8 H 2.20-2.31
H  0.1008  0.8364  0.2644  3 Y 2.21-2.31, 1 Sm 2.27, 4 H 2.30-2.47
H  0.1565  0.6565  0.5000  8 H 2.26-2.34, 2 Sm 2.52
H  0.2790  0.5000  0.7790  2 Y 2.20, 3 H 2.26-2.32, 2 Sm 2.35
H  0.4279  0.1636  0.2644  3 Y 2.21-2.31, 1 Sm 2.27, 4 H 2.30-2.47
H  0.5721  0.8364  0.7356  3 Y 2.21-2.31, 1 Sm 2.27, 4 H 2.30-2.47
H  0.7210  0.5000  0.2210  2 Y 2.20, 3 H 2.26-2.32, 2 Sm 2.35
H  0.8435  0.3435  0.5000  8 H 2.26-2.34, 2 Sm 2.52
H  0.8992  0.1636  0.7356  3 Y 2.21-2.31, 1 Sm 2.27, 4 H 2.30-2.47

SG: No. 71
Fermi-level density of states, states/eV per cell: 1.09
V, Å³/f.u.: 106
Calculated total energy, eV per cell: -51.3

***

No. 5
Computed, not measured: a geometry-optimized Sm4Zn2H structure at the GGA-PBE level of DFT.

abc: 4.7726 4.7726 15.0375
angles: 90.00 90.00 90.00
Closest atoms and distances in Å follow each position.
Element x y z (fractional)
Sm  0.0000  0.0000  0.1857  1 H 2.79, 1 Zn 2.85
Sm  0.0000  0.0000  0.8143  1 H 2.79, 1 Zn 2.85
Sm  0.0000  0.5000  0.0000  2 H 2.39
Sm  0.0000  0.5000  0.5000  2 H 2.39
Sm  0.5000  0.0000  0.0000  2 H 2.39
Sm  0.5000  0.0000  0.5000  2 H 2.39
Sm  0.5000  0.5000  0.3143  1 H 2.79, 1 Zn 2.85
Sm  0.5000  0.5000  0.6857  1 H 2.79, 1 Zn 2.85
Zn  0.0000  0.0000  0.3754  5 Sm 2.85-3.03
Zn  0.0000  0.0000  0.6246  5 Sm 2.85-3.03
Zn  0.5000  0.5000  0.1246  5 Sm 2.85-3.03
Zn  0.5000  0.5000  0.8754  5 Sm 2.85-3.03
H  0.0000  0.0000  0.0000  4 Sm 2.39
H  0.5000  0.5000  0.5000  4 Sm 2.39

SG: No. 139
Fermi-level density of states, states/eV per cell: 9.89
V, Å³/f.u.: 171
Calculated total energy, eV per cell: -52.4

***

No. 6
Computed, not measured: a geometry-optimized Sm3ZnH structure at the GGA-PBE level of DFT.

abc: 4.8681 4.8681 4.8681
angles: 90.00 90.00 90.00
Closest atoms and distances in Å follow each position.
Element x y z (fractional)
Sm  0.0000  0.0000  0.5000  2 H 2.43
Sm  0.0000  0.5000  0.0000  2 H 2.43
Sm  0.5000  0.0000  0.0000  2 H 2.43
Zn  0.5000  0.5000  0.5000  12 Sm 3.44
H  0.0000  0.0000  0.0000  6 Sm 2.43

SG: No. 221
Fermi-level density of states, states/eV per cell: 7.54
V, Å³/f.u.: 115
Calculated total energy, eV per cell: -19.6

***

No. 7
Computed, not measured: a geometry-optimized SmZnH structure at the GGA-PBE level of DFT.

abc: 3.4617 3.4617 9.5433
angles: 90.00 90.00 90.00
Closest atoms and distances in Å follow each position.
Element x y z (fractional)
Sm  0.0000  0.0000  0.0000  4 H 2.45
Sm  0.5000  0.5000  0.5000  4 H 2.45
Zn  0.0000  0.0000  0.6921  1 H 1.91
Zn  0.5000  0.5000  0.1921  1 H 1.91
H  0.0000  0.0000  0.4915  1 Zn 1.91
H  0.5000  0.5000  0.9915  1 Zn 1.91

SG: No. 107
Fermi-level density of states, states/eV per cell: 3.77
V, Å³/f.u.: 57
Distance to the lowest polymorph of the same formula, meV per atom: 257

***

No. 8
Computed, not measured: a geometry-optimized SmZnH structure at the GGA-PBE level of DFT.

abc: 3.6998 3.6998 8.1093
angles: 90.00 90.00 90.00
Closest atoms and distances in Å follow each position.
Element x y z (fractional)
Sm  0.2500  0.2500  0.1645  4 H 2.28
Sm  0.7500  0.7500  0.8355  4 H 2.28
Zn  0.2500  0.7500  0.5000  4 Zn 2.62
Zn  0.7500  0.2500  0.5000  4 Zn 2.62
H  0.2500  0.7500  0.0000  4 Sm 2.28
H  0.7500  0.2500  0.0000  4 Sm 2.28

SG: No. 129
Fermi-level density of states, states/eV per cell: 3.00
V, Å³/f.u.: 56
Distance to the lowest polymorph of the same formula, meV per atom: 0

***

No. 9
Computed, not measured: a geometry-optimized SmZrH structure at the GGA-PBE level of DFT.

abc: 3.1957 11.5660 6.2156
angles: 90.00 90.00 90.00
Closest atoms and distances in Å follow each position.
Element x y z (fractional)
Sm  0.0000  0.2305  0.2500  1 H 2.36
Sm  0.0000  0.7695  0.7500  1 H 2.36
Sm  0.5000  0.2695  0.7500  1 H 2.36
Sm  0.5000  0.7305  0.2500  1 H 2.36
Zr  0.0000  0.5000  0.0000  4 H 2.25
Zr  0.0000  0.5000  0.5000  4 H 2.25
Zr  0.5000  0.0000  0.0000  4 H 2.25
Zr  0.5000  0.0000  0.5000  4 H 2.25
H  0.0000  0.0264  0.2500  4 Zr 2.25, 1 Sm 2.36
H  0.0000  0.9736  0.7500  4 Zr 2.25, 1 Sm 2.36
H  0.5000  0.4736  0.7500  4 Zr 2.25, 1 Sm 2.36
H  0.5000  0.5264  0.2500  4 Zr 2.25, 1 Sm 2.36

SG: No. 63
Fermi-level density of states, states/eV per cell: 8.08
V, Å³/f.u.: 57
Distance to the lowest polymorph of the same formula, meV per atom: 22

***

No. 10
Computed, not measured: a geometry-optimized SmZrH3 structure at the GGA-PBE level of DFT.

abc: 3.9688 3.9688 3.9688
angles: 90.00 90.00 90.00
Closest atoms and distances in Å follow each position.
Element x y z (fractional)
Sm  0.0000  0.0000  0.0000  12 H 2.81
Zr  0.5000  0.5000  0.5000  6 H 1.98
H  0.0000  0.5000  0.5000  2 Zr 1.98
H  0.5000  0.0000  0.5000  2 Zr 1.98
H  0.5000  0.5000  0.0000  2 Zr 1.98

SG: No. 221
Fermi-level density of states, states/eV per cell: 0.73
V, Å³/f.u.: 63
Calculated total energy, eV per cell: -25.1

***

No. 11
Computed, not measured: a geometry-optimized SmZr3H structure at the GGA-PBE level of DFT.

abc: 4.6572 4.6572 4.6572
angles: 90.00 90.00 90.00
Closest atoms and distances in Å follow each position.
Element x y z (fractional)
Sm  0.0000  0.0000  0.0000  12 Zr 3.29
Zr  0.0000  0.5000  0.5000  2 H 2.33
Zr  0.5000  0.0000  0.5000  2 H 2.33
Zr  0.5000  0.5000  0.0000  2 H 2.33
H  0.5000  0.5000  0.5000  6 Zr 2.33

SG: No. 221
Fermi-level density of states, states/eV per cell: 8.52
V, Å³/f.u.: 101
Calculated total energy, eV per cell: -33.7

***

No. 12
Computed, not measured: a geometry-optimized SmZrH2 structure at the GGA-PBE level of DFT.

abc: 3.3866 3.3866 16.9068
angles: 90.00 90.00 120.00
Closest atoms and distances in Å follow each position.
Element x y z (fractional)
Sm  0.0000  0.0000  0.0000  6 H 2.61
Sm  0.3333  0.6667  0.6667  6 H 2.61
Sm  0.6667  0.3333  0.3333  6 H 2.61
Zr  0.0000  0.0000  0.5000  6 H 2.24
Zr  0.3333  0.6667  0.1667  6 H 2.24
Zr  0.6667  0.3333  0.8333  6 H 2.24
H  0.0000  0.0000  0.2308  3 Zr 2.24
H  0.0000  0.0000  0.7692  3 Zr 2.24
H  0.3333  0.6667  0.4359  3 Zr 2.24
H  0.3333  0.6667  0.8974  3 Zr 2.24
H  0.6667  0.3333  0.1026  3 Zr 2.24
H  0.6667  0.3333  0.5641  3 Zr 2.24

SG: No. 166
Fermi-level density of states, states/eV per cell: 10.49
V, Å³/f.u.: 56
Calculated total energy, eV per cell: -63.5